(1)
A relaxed structure of In2As2Se, computed with PBE.

Unit cell a=7.787 b=7.787 c=4.242 alpha=90.00 beta=90.00 gamma=90.00
Fractional positions:
As: 0.109 0.609 0.500
As: 0.609 0.891 0.500
As: 0.891 0.391 0.500
As: 0.391 0.109 0.500
Se: 0.000 0.000 0.000
Se: 0.500 0.500 0.000
In: 0.314 0.814 0.000
In: 0.814 0.686 0.000
In: 0.686 0.186 0.000
In: 0.186 0.314 0.000

Properties
Excess energy over the best structure of this formula in the dataset (eV per atom): 0.172
Raw formation energy (meV per atom): 158
Total energy (eV for the cell shown): -34.9


(2)
A relaxed structure of Tb2SmGa2Pt7, computed with PBE.

Unit cell a=4.075 b=4.075 c=14.180 alpha=83.17 beta=83.17 gamma=89.35
Fractional positions:
Tb: 0.869 0.869 0.358
Tb: 0.131 0.131 0.642
Sm: 0.000 0.000 0.000
Ga: 0.606 0.606 0.739
Ga: 0.394 0.394 0.261
Pt: 0.500 0.500 0.000
Pt: 0.353 0.353 0.435
Pt: 0.647 0.647 0.565
Pt: 0.935 0.435 0.158
Pt: 0.435 0.935 0.158
Pt: 0.565 0.065 0.842
Pt: 0.065 0.565 0.842

Properties
Total energy (eV for the cell shown): -73.8


(3)
A relaxed structure of NaInH3, computed with PBE.

Unit cell a=4.120 b=4.120 c=4.120 alpha=90.00 beta=90.00 gamma=90.00
Fractional positions:
Na: 0.500 0.500 0.500
H: 0.000 0.500 0.000
H: 0.000 0.000 0.500
H: 0.500 0.000 0.000
In: 0.000 0.000 0.000

Properties
Excess energy over the best structure of this formula in the dataset (eV per atom): 0.000
Total energy (eV for the cell shown): -13.4


(4)
A relaxed structure of HfTiTeRh2, computed with PBE.

Unit cell a=4.744 b=5.366 c=4.744 alpha=90.00 beta=90.00 gamma=90.00
Each line ends with the local moment (μB).
Fractional positions:
Rh: 0.000 0.000 0.500  -0.02
Rh: 0.500 0.000 0.000  -0.01
Te: 0.000 0.500 0.000  -0.01
Hf: 0.000 0.000 0.000  0.00
Ti: 0.500 0.500 0.500  0.09

Properties
Raw formation energy (meV per atom): 691
Total energy (eV for the cell shown): -32.2


(5)
A relaxed structure of MoPbSCl2, computed with PBE.

Unit cell a=5.158 b=5.158 c=5.417 alpha=90.00 beta=90.00 gamma=90.00
Each line ends with the local moment (μB).
Fractional positions:
Pb: 0.000 0.000 0.000  0.00
Mo: 0.500 0.500 0.500  3.94
S: 0.000 0.000 0.500  -0.11
Cl: 0.000 0.500 0.000  0.02
Cl: 0.500 0.000 0.000  0.02

Properties
Excess energy over the best structure of this formula in the dataset (eV per atom): 0.743
Raw formation energy (meV per atom): 568
Total energy (eV for the cell shown): -19.5


(6)
A relaxed structure of Ag2IrSe, computed with PBE.

Unit cell a=3.029 b=3.029 c=8.128 alpha=90.00 beta=90.00 gamma=90.00
Fractional positions:
Ag: 0.000 0.000 0.024
Ag: 0.500 0.500 0.266
Ir: 0.000 0.000 0.523
Se: 0.500 0.500 0.687

Properties
Raw formation energy (meV per atom): 225
Total energy (eV for the cell shown): -17.1


(7)
A relaxed structure of HoPaRhAu, computed with PBE.

Unit cell a=4.984 b=4.984 c=4.984 alpha=60.00 beta=60.00 gamma=60.00
Each line ends with the local moment (μB).
Fractional positions:
Rh: 0.500 0.500 0.500  -0.04
Pa: 0.750 0.750 0.750  0.56
Au: 0.000 0.000 0.000  0.00
Ho: 0.250 0.250 0.250  0.09

Properties
Total energy (eV for the cell shown): -26.9


(8)
A relaxed structure of Tl4TeS, computed with PBE.

Unit cell a=7.224 b=8.254 c=8.380 alpha=112.06 beta=107.31 gamma=105.73
Fractional positions:
Tl: 0.022 0.210 0.849
Tl: 0.814 0.711 0.648
Tl: 0.327 0.639 0.849
Tl: 0.334 0.936 0.648
Tl: 0.666 0.064 0.352
Tl: 0.673 0.361 0.151
Tl: 0.186 0.289 0.352
Tl: 0.978 0.790 0.151
Te: 0.378 0.628 0.256
Te: 0.622 0.372 0.744
S: 0.286 0.036 0.073
S: 0.714 0.964 0.927

Properties
Excess energy over the best structure of this formula in the dataset (eV per atom): 0.000
Raw formation energy (meV per atom): -287
Total energy (eV for the cell shown): -36.9


(9)
A relaxed structure of Cu5Hg7, computed with PBE.

Unit cell a=7.249 b=7.249 c=7.249 alpha=121.30 beta=121.30 gamma=87.76
Fractional positions:
Hg: 0.298 0.298 0.000
Hg: 0.455 0.955 0.500
Hg: 0.955 0.455 0.500
Hg: 0.710 0.000 0.290
Hg: 0.710 0.420 0.710
Hg: 0.420 0.710 0.710
Hg: 0.000 0.710 0.290
Cu: 0.893 0.893 0.000
Cu: 0.891 0.238 0.000
Cu: 0.238 0.891 0.000
Cu: 0.891 0.891 0.652
Cu: 0.238 0.238 0.348

Properties
Total energy (eV for the cell shown): -19.4


(10)
A relaxed structure of NdScZnOs, computed with PBE.

Unit cell a=4.866 b=4.866 c=4.866 alpha=60.00 beta=60.00 gamma=60.00
Fractional positions:
Sc: 0.250 0.250 0.250
Nd: 0.750 0.750 0.750
Zn: 0.500 0.500 0.500
Os: 0.000 0.000 0.000

Properties
Total energy (eV for the cell shown): -24.3


(11)
A relaxed structure of ZnSe2Cl, computed with PBE.

Unit cell a=4.797 b=4.797 c=4.797 alpha=60.00 beta=60.00 gamma=60.00
Fractional positions:
Zn: 0.500 0.500 0.500
Se: 0.250 0.250 0.250
Se: 0.750 0.750 0.750
Cl: 0.000 0.000 0.000

Properties
Excess energy over the best structure of this formula in the dataset (eV per atom): 0.780
Raw formation energy (meV per atom): 399
Total energy (eV for the cell shown): -8.5


(12)
A relaxed structure of ZrCuRe2, computed with PBE.

Unit cell a=2.714 b=2.714 c=8.883 alpha=90.00 beta=90.00 gamma=105.93
Fractional positions:
Cu: 0.500 0.500 0.750
Re: 0.000 0.000 0.981
Re: 0.000 0.000 0.519
Zr: 0.500 0.500 0.250

Properties
Excess energy over the best structure of this formula in the dataset (eV per atom): 0.210
Total energy (eV for the cell shown): -36.6